Entry 1:
LaPdPb after structural relaxation. Source: Alexandria, functional PBE.

Cell lengths 3.5878, 3.5878, 6.4486 Å; angles 106.15, 106.15, 90.00 degrees
Closest atoms and distances in Å follow each position.
Sites, in units of the cell vectors:
1 Pb 0.9250 0.9250 0.8500  4 Pd 2.99
2 Pd 0.2910 0.2910 0.5821  4 Pb 2.99, 4 La 3.15
3 La 0.6340 0.6340 0.2679  4 Pd 3.15, 1 Pb 3.45

Values from the calculation:
Formation energy from the elements, meV per atom: -509
Total moment, μB/f.u.: 0.00
Space-group type: No. 107
Calculated volume, Å³/atom: 25.44



Entry 2:
MnCd after structural relaxation. Source: Alexandria, functional PBE.

Cell lengths 2.9669, 2.9669, 4.7320 Å; angles 90.00, 90.00, 120.00 degrees
Closest atoms and distances in Å follow each position.
Sites, in units of the cell vectors:
1 Cd 0.0000 0.0000 0.0000  6 Mn 2.92, 6 Cd 2.97
2 Mn 0.3333 0.6667 0.5000  6 Cd 2.92, 6 Mn 2.97

Values from the calculation:
Formation energy from the elements, meV per atom: 392
Total moment, μB/f.u.: 3.66
Space-group type: No. 187
Calculated volume, Å³/atom: 18.04



Entry 3:
Ca2GdHo after structural relaxation. Source: Alexandria, functional PBE.

Cell lengths 5.4498, 5.1455, 5.1455 Å; angles 90.00, 90.00, 90.00 degrees
Closest atoms and distances in Å follow each position.
Sites, in units of the cell vectors:
1 Ca 0.0000 0.5000 0.0000  4 Ca 3.64, 4 Gd 3.75, 4 Ho 3.75
2 Ca 0.0000 0.0000 0.5000  4 Ca 3.64, 4 Gd 3.75, 4 Ho 3.75
3 Gd 0.5000 0.5000 0.5000  4 Ho 3.64, 8 Ca 3.75
4 Ho 0.5000 0.0000 0.0000  4 Gd 3.64, 8 Ca 3.75

Values from the calculation:
Formation energy from the elements, meV per atom: 162
Total moment, μB/f.u.: 8.81
Space-group type: No. 123
Calculated volume, Å³/atom: 36.07
Offset from the most stable computed form, meV per atom: 0.0